Record 1
DFT (GGA-PBE) results for a relaxed structure of La12Sm6In.

a b c (Å): 9.6883 9.6883 9.6883
angles (deg): 110.82 110.82 110.82
With the nearest neighbours (Å) after each atom.
Fractional coordinates of all 19 atoms:
La 0.0564 0.3752 0.5861  8 La 3.64-3.73, 4 Sm 3.67-3.70
La 0.1025 0.7400 0.1551  1 In 3.61, 8 La 3.61-3.73, 3 Sm 3.64-3.75
La 0.1551 0.1025 0.7400  1 In 3.61, 8 La 3.61-3.73, 3 Sm 3.64-3.75
La 0.2600 0.8449 0.8975  1 In 3.61, 8 La 3.61-3.73, 3 Sm 3.64-3.75
La 0.3752 0.5861 0.0564  8 La 3.64-3.73, 4 Sm 3.67-3.70
La 0.4139 0.9436 0.6248  8 La 3.64-3.73, 4 Sm 3.67-3.70
La 0.5861 0.0564 0.3752  8 La 3.64-3.73, 4 Sm 3.67-3.70
La 0.6248 0.4139 0.9436  8 La 3.64-3.73, 4 Sm 3.67-3.70
La 0.7400 0.1551 0.1025  1 In 3.61, 8 La 3.61-3.73, 3 Sm 3.64-3.75
La 0.8449 0.8975 0.2600  1 In 3.61, 8 La 3.61-3.73, 3 Sm 3.64-3.75
La 0.8975 0.2600 0.8449  1 In 3.61, 8 La 3.61-3.73, 3 Sm 3.64-3.75
La 0.9436 0.6248 0.4139  8 La 3.64-3.73, 4 Sm 3.67-3.70
Sm 0.2123 0.4685 0.3130  4 Sm 3.57-3.68, 1 In 3.63, 7 La 3.64-3.75
Sm 0.3130 0.2123 0.4685  4 Sm 3.57-3.68, 1 In 3.63, 7 La 3.64-3.75
Sm 0.4685 0.3130 0.2123  4 Sm 3.57-3.68, 1 In 3.63, 7 La 3.64-3.75
Sm 0.5315 0.6870 0.7877  4 Sm 3.57-3.68, 1 In 3.63, 7 La 3.64-3.75
Sm 0.6870 0.7877 0.5315  4 Sm 3.57-3.68, 1 In 3.63, 7 La 3.64-3.75
Sm 0.7877 0.5315 0.6870  4 Sm 3.57-3.68, 1 In 3.63, 7 La 3.64-3.75
In 0.0000 0.0000 0.0000  6 La 3.61, 6 Sm 3.63

Computed properties:
- Symmetry: R-3 (148)
- Energy relative to the elements: -0.028 eV/atom
- Crystal system: trigonal
- Calculated total energy: -4.77 eV per atom
- DOS at the Fermi energy: 29.33 states/eV/cell



Record 2
DFT (GGA-PBE) results for a relaxed structure of LaZnGaRu.

a b c (Å): 5.6832 5.6832 5.6832
angles (deg): 45.50 45.50 45.50
With the nearest neighbours (Å) after each atom.
Fractional coordinates of all 4 atoms:
La 0.0000 0.0000 0.0000  4 Ru 2.96-3.31, 4 Zn 3.07-3.24, 3 Ga 3.28
Zn 0.2010 0.2010 0.2010  3 Ru 2.71, 3 Ga 2.72
Ga 0.4698 0.4698 0.4698  3 Ru 2.54, 3 Zn 2.72
Ru 0.8059 0.8059 0.8059  3 Ga 2.54, 3 Zn 2.71

Computed properties:
- Symmetry: R3m (160)
- Energy relative to the elements: -0.347 eV/atom
- Crystal system: trigonal
- Calculated total energy: -4.97 eV per atom
- DOS at the Fermi energy: 2.70 states/eV/cell